(1)
Density functional theory data (GGA-PBE) for a relaxed Ho3As2S crystal.

Cell: 4.0424 4.0424 9.8357 Å, 90.00 90.00 120.00°
Last column: nearest neighbours and their distance in Å.
Element x y z (fractional)
1 Ho 0.0000 0.0000 0.0000  6 As 2.88
2 Ho 0.3333 0.6667 0.3352  3 As 2.83, 3 S 2.84
3 Ho 0.6667 0.3333 0.6648  3 As 2.83, 3 S 2.84
4 As 0.3333 0.6667 0.8283  6 Ho 2.83-2.88
5 As 0.6667 0.3333 0.1717  6 Ho 2.83-2.88
6 S 0.0000 0.0000 0.5000  6 Ho 2.84

Results
**E_tot**: -6.2315 eV per atom
**V**: 23.20 Å³/atom
**Space-group type**: P-3m1, No. 164
**Total magnetic moment**: 0.0 Bohr magnetons per cell

(2)
Density functional theory data (GGA-PBE) for a relaxed HoTlAsS3 crystal.

Cell: 7.2657 7.2657 11.0766 Å, 90.00 90.00 149.40°
Last column: nearest neighbours and their distance in Å.
Element x y z (fractional)
1 Ho 0.0000 0.0000 0.0000  6 S 2.69-2.78
2 Ho 0.0000 0.0000 0.5000  6 S 2.69-2.78
3 Tl 0.3055 0.6945 0.7500  4 S 3.15-3.18, 2 As 3.23
4 Tl 0.6945 0.3055 0.2500  4 S 3.15-3.18, 2 As 3.23
5 As 0.3802 0.6198 0.2500  4 S 2.52-2.68
6 As 0.6198 0.3802 0.7500  4 S 2.52-2.68
7 S 0.0133 0.9867 0.2500  2 As 2.68, 2 Ho 2.78
8 S 0.3669 0.6331 0.0231  1 As 2.52, 2 Ho 2.69
9 S 0.3669 0.6331 0.4769  1 As 2.52, 2 Ho 2.69
10 S 0.6331 0.3669 0.5231  1 As 2.52, 2 Ho 2.69
11 S 0.6331 0.3669 0.9769  1 As 2.52, 2 Ho 2.69
12 S 0.9867 0.0133 0.7500  2 As 2.68, 2 Ho 2.78

Results
**E_tot**: -4.7959 eV per atom
**V**: 24.81 Å³/atom
**Space-group type**: Cmcm, No. 63
**Total magnetic moment**: 0.0 Bohr magnetons per cell

(3)
Density functional theory data (GGA-PBE) for a relaxed HoSbAs crystal.

Cell: 4.8760 4.8760 4.8760 Å, 60.00 60.00 60.00°
Last column: nearest neighbours and their distance in Å.
Element x y z (fractional)
1 Ho 0.0000 0.0000 0.0000  4 As 2.99
2 Sb 0.5000 0.5000 0.5000  4 As 2.99
3 As 0.2500 0.2500 0.2500  4 Sb 2.99, 4 Ho 2.99

Results
**E_tot**: -4.8243 eV per atom
**V**: 27.32 Å³/atom
**Space-group type**: F-43m, No. 216
**Total magnetic moment**: 0.0 Bohr magnetons per cell
**E above lowest polymorph**: 0 meV/atom

(4)
Density functional theory data (GGA-PBE) for a relaxed Ho2ScAs3 crystal.

Cell: 4.0228 4.0228 9.8244 Å, 90.00 90.00 120.00°
Last column: nearest neighbours and their distance in Å.
Element x y z (fractional)
1 Ho 0.3333 0.6667 0.3277  6 As 2.87-2.88
2 Ho 0.6667 0.3333 0.6723  6 As 2.87-2.88
3 Sc 0.0000 0.0000 0.0000  6 As 2.78
4 As 0.0000 0.0000 0.5000  6 Ho 2.87
5 As 0.3333 0.6667 0.8454  3 Sc 2.78, 3 Ho 2.88
6 As 0.6667 0.3333 0.1546  3 Sc 2.78, 3 Ho 2.88

Results
**E_tot**: -6.3737 eV per atom
**V**: 22.95 Å³/atom
**Space-group type**: P-3m1, No. 164
**Total magnetic moment**: 0.0 Bohr magnetons per cell

(5)
Density functional theory data (GGA-PBE) for a relaxed HoScAs crystal.

Cell: 4.6461 4.6461 4.6461 Å, 60.00 60.00 60.00°
Last column: nearest neighbours and their distance in Å.
Element x y z (fractional)
1 Ho 0.0000 0.0000 0.0000  4 As 2.85
2 Sc 0.5000 0.5000 0.5000  4 As 2.85
3 As 0.2500 0.2500 0.2500  4 Sc 2.85, 4 Ho 2.85

Results
**E_tot**: -5.9315 eV per atom
**V**: 23.64 Å³/atom
**Space-group type**: F-43m, No. 216
**Total magnetic moment**: 0.1 Bohr magnetons per cell

(6)
Density functional theory data (GGA-PBE) for a relaxed HoSc2As3 crystal.

Cell: 3.9443 3.9443 9.6397 Å, 90.00 90.00 120.00°
Last column: nearest neighbours and their distance in Å.
Element x y z (fractional)
1 Ho 0.0000 0.0000 0.0000  6 As 2.85
2 Sc 0.3333 0.6667 0.3388  6 As 2.75-2.76
3 Sc 0.6667 0.3333 0.6612  6 As 2.75-2.76
4 As 0.0000 0.0000 0.5000  6 Sc 2.76
5 As 0.3333 0.6667 0.8214  3 Sc 2.75, 3 Ho 2.85
6 As 0.6667 0.3333 0.1786  3 Sc 2.75, 3 Ho 2.85

Results
**E_tot**: -6.6148 eV per atom
**V**: 21.65 Å³/atom
**Space-group type**: P-3m1, No. 164
**Total magnetic moment**: 0.0 Bohr magnetons per cell